# CrAg2PBr (PBE-GGA, optimized geometry)
# DFT total energy: -21.58 eV per cell
# energy relative to the elements, uncorrected: 166 meV per atom
data_CrAg2PBr
_cell_length_a 4.874
_cell_length_b 4.874
_cell_length_c 4.750
_cell_angle_alpha 90.00
_cell_angle_beta 90.00
_cell_angle_gamma 90.00
_space_group_name_H-M_alt 'P 4/m m m'
_space_group_IT_number 123
_space_group_name_Hall '-P 4 2'
loop_
_atom_site_label
_atom_site_type_symbol
_atom_site_fract_x
_atom_site_fract_y
_atom_site_fract_z
Cr1 Cr 0.000 0.000 0.000
Ag1 Ag 0.000 0.500 0.500
P1 P 0.000 0.000 0.500
Br1 Br 0.500 0.500 0.000



# CrAgPb2Br (PBE-GGA, optimized geometry)
# DFT total energy: -19.51 eV per cell
# energy relative to the elements, uncorrected: 412 meV per atom
data_CrAgPb2Br
_cell_length_a 5.343
_cell_length_b 5.343
_cell_length_c 5.163
_cell_angle_alpha 90.00
_cell_angle_beta 90.00
_cell_angle_gamma 90.00
_space_group_name_H-M_alt 'P 4/m m m'
_space_group_IT_number 123
_space_group_name_Hall '-P 4 2'
loop_
_atom_site_label
_atom_site_type_symbol
_atom_site_fract_x
_atom_site_fract_y
_atom_site_fract_z
Cr1 Cr 0.000 0.000 0.000
Ag1 Ag 0.000 0.000 0.500
Pb1 Pb 0.000 0.500 0.000
Br1 Br 0.500 0.500 0.500